1.
The following is a DFT calculation (PBE) of a geometry-optimized Tb2ZnTc3 structure.

Properties
V = 111.4 Å³ per cell
total DFT energy (no corrections) = -42.98 eV/cell
energy of formation = -0.22 eV per atom

Unit cell a=5.292 b=5.292 c=5.516 alpha=90.04 beta=118.66 gamma=119.96
Positions (direct):
Tb 0.243 0.621 0.864
Zn 0.000 0.000 0.000
Tc 0.500 0.000 0.500
Tc 0.500 0.500 0.500
Tb 0.757 0.379 0.136
Tc 0.000 0.000 0.500



2.
The following is a DFT calculation (PBE) of a geometry-optimized La5ScSn4 structure.

Properties
V = 353.9 Å³ per cell
total DFT energy (no corrections) = -50.66 eV/cell
energy of formation = -0.37 eV per atom

Unit cell a=3.821 b=9.736 c=10.068 alpha=105.45 beta=100.94 gamma=90.00
Positions (direct):
La 0.167 0.354 0.334
La 0.169 0.823 0.339
La 0.833 0.646 0.666
Sn 0.999 0.235 0.999
Sn 0.001 0.765 0.001
Sn 0.660 0.085 0.321
La 0.831 0.177 0.661
La 0.500 0.500 0.000
Sc 0.500 0.000 0.000
Sn 0.340 0.915 0.679



3.
The following is a DFT calculation (PBE) of a geometry-optimized NaTl2Cd16 structure.

Properties
V = 472.0 Å³ per cell
total DFT energy (no corrections) = -20.49 eV/cell
energy of formation = 0.01 eV per atom

Unit cell a=7.834 b=7.834 c=7.834 alpha=83.45 beta=83.45 gamma=83.45
Positions (direct):
Cd 0.362 0.362 0.830
Cd 0.127 0.127 0.127
Cd 0.997 0.699 0.296
Cd 0.147 0.640 0.640
Tl 0.660 0.660 0.660
Cd 0.296 0.997 0.699
Na 0.906 0.906 0.906
Cd 0.640 0.147 0.640
Cd 0.296 0.699 0.997
Cd 0.000 0.000 0.494
Cd 0.699 0.997 0.296
Cd 0.362 0.830 0.362
Tl 0.347 0.347 0.347
Cd 0.494 0.000 0.000
Cd 0.640 0.640 0.147
Cd 0.997 0.296 0.699
Cd 0.000 0.494 0.000
Cd 0.830 0.362 0.362
Cd 0.699 0.296 0.997



4.
The following is a DFT calculation (PBE) of a geometry-optimized LiSn3Rh4 structure.

Properties
V = 129.8 Å³ per cell
total DFT energy (no corrections) = -47.10 eV/cell
energy of formation = -0.47 eV per atom

Unit cell a=4.590 b=4.591 c=6.963 alpha=109.31 beta=109.25 gamma=90.00
Positions (direct):
Li 0.500 0.000 0.000
Sn 0.000 0.500 0.000
Rh 0.374 0.374 0.748
Rh 0.126 0.126 0.252
Sn 0.741 0.241 0.482
Sn 0.259 0.759 0.518
Rh 0.874 0.874 0.748
Rh 0.626 0.626 0.252



5.
The following is a DFT calculation (PBE) of a geometry-optimized MgNb2InN structure.

Properties
formation energy (no corrections) = -1.65 eV/f.u.
V = 81.8 Å³ per cell
total DFT energy (no corrections) = -34.45 eV/cell

Unit cell a=4.297 b=4.297 c=4.431 alpha=90.00 beta=90.00 gamma=90.00
Positions (direct):
Mg 0.000 0.000 0.500
N 0.000 0.000 0.000
In 0.500 0.500 0.500
Nb 0.000 0.500 0.000
Nb 0.500 0.000 0.000



6.
The following is a DFT calculation (PBE) of a geometry-optimized Ho3BeI3 structure.

Properties
formation energy (no corrections) = -5.36 eV/f.u.
V = 858.2 Å³ per cell
total DFT energy (no corrections) = -109.89 eV/cell

Unit cell a=10.369 b=10.369 c=10.369 alpha=109.47 beta=109.47 gamma=109.47
Positions (direct):
Be 0.000 0.000 0.250
Ho 0.523 0.045 0.273
Ho 0.523 0.477 0.750
I 0.750 0.758 0.742
I 0.750 0.992 0.508
Ho 0.977 0.227 0.455
Ho 0.955 0.477 0.227
I 0.492 0.983 0.742
Ho 0.545 0.273 0.023
Ho 0.250 0.227 0.273
Ho 0.773 0.750 0.227
Ho 0.773 0.023 0.045
I 0.258 0.742 0.250
Ho 0.727 0.273 0.750
Ho 0.727 0.455 0.477
Ho 0.250 0.023 0.477
I 0.242 0.992 0.983
I 0.017 0.508 0.758
I 0.483 0.742 0.992
Be 0.750 0.500 0.000
Be 0.750 0.250 0.250
I 0.008 0.758 0.517
Be 0.500 0.250 0.500
I 0.008 0.250 0.992
Ho 0.977 0.750 0.023
I 0.242 0.250 0.758
I 0.492 0.508 0.250
I 0.258 0.517 0.508



Which formula does entry 1 have?
Tb2ZnTc3



Which value of V does entry 5 give?
81.8 Å³ per cell